Cs3Pb2Br5F2 | GGA-PBE | optimized geometry

Its formation energy (no corrections) is -1.682 eV/atom.

Structure (CIF):
```
data_Cs3Pb2Br5F2
_space_group_name_H-M_alt 'I 4/m m m'
_space_group_IT_number 139
_space_group_name_Hall '-I 4 2'
_cell_length_a 6.096
_cell_length_b 6.096
_cell_length_c 26.725
_cell_angle_alpha 90.00
_cell_angle_beta 90.00
_cell_angle_gamma 90.00
loop_
_atom_site_label
_atom_site_type_symbol
_atom_site_fract_x
_atom_site_fract_y
_atom_site_fract_z
Cs1 Cs 0.000 0.000 0.000
Cs2 Cs 0.000 0.000 0.193
Pb1 Pb 0.000 0.000 0.383
Br1 Br 0.000 0.000 0.500
Br2 Br 0.000 0.500 0.113
F1 F 0.000 0.000 0.297
```

Cs2PdBr6F | GGA-PBE | optimized geometry

Its formation energy (no corrections) is -0.924 eV/atom.

Structure (CIF):
```
data_Cs2PdBr6F
_space_group_name_H-M_alt 'I 4/m m m'
_space_group_IT_number 139
_space_group_name_Hall '-I 4 2'
_cell_length_a 7.341
_cell_length_b 7.341
_cell_length_c 11.756
_cell_angle_alpha 90.00
_cell_angle_beta 90.00
_cell_angle_gamma 90.00
loop_
_atom_site_label
_atom_site_type_symbol
_atom_site_fract_x
_atom_site_fract_y
_atom_site_fract_z
Cs1 Cs 0.000 0.500 0.250
Pd1 Pd 0.000 0.000 0.000
Br1 Br 0.000 0.000 0.213
Br2 Br 0.245 0.245 0.000
F1 F 0.000 0.000 0.500
```

| no. | E (eV/atom) |
| --- | --- |
| 1 | -3.5224 |
| 2 | -2.8046 |